# 1
Below is a relaxed Hf4Ti2In crystal, with properties calculated at the PBE level.

Cell and atoms, written as extended XYZ:
```
14
Lattice="9.935 0.000 0.000 0.000 5.557 -1.079 0.000 1.010 5.212" Properties=species:S:1:pos:R:3 pbc="T T T"
Ti 4.721 6.307 2.797
Ti 9.689 3.039 0.796
Hf 7.450 2.352 4.706
Hf 6.759 3.243 1.860
Ti 0.246 3.528 3.337
Hf 1.791 0.545 2.813
Hf 3.176 3.323 2.273
Hf 2.483 1.436 -0.033
Hf 2.485 4.215 -0.572
In 0.000 0.000 0.000
Hf 8.144 6.022 1.320
Hf 7.452 5.130 4.166
In 4.967 2.778 -0.540
Ti 5.214 0.260 1.336
```

Output
- calculated formation energy (eV per atom) = 0.130
- E_tot (eV/atom) = -8.205
- energy above the lowest structure with this stoichiometry (eV/atom) = 0.0000

---

# 2
Below is a relaxed Er2ThIn2Ag2 crystal, with properties calculated at the PBE level.

Cell and atoms, written as extended XYZ:
```
7
Lattice="4.868 0.000 0.000 2.434 4.216 0.000 2.434 1.405 8.621" Properties=species:S:1:pos:R:3 pbc="T T T"
Ag 4.868 2.811 2.577
Er 7.302 4.216 3.447
In 7.302 4.216 6.800
Er 2.434 1.405 5.174
Th 0.000 0.000 0.000
Ag 4.868 2.811 6.044
In 2.434 1.405 1.820
```

Output
- calculated formation energy (eV per atom) = -0.223
- E_tot (eV/atom) = -4.183

---

# 3
Below is a relaxed YAl2Ag5 crystal, with properties calculated at the PBE level.

Cell and atoms, written as extended XYZ:
```
8
Lattice="-0.029 -1.203 3.536 0.582 -6.837 -0.348 6.451 -1.927 1.370" Properties=species:S:1:pos:R:3 pbc="T T T"
Ag 3.291 -7.045 1.577
Al 5.278 -7.503 3.410
Ag 5.689 -5.038 2.279
Ag 3.516 -4.382 0.511
Ag 3.713 -2.922 2.982
Ag 1.314 -4.929 2.280
Al 1.726 -2.465 1.149
Y 0.000 0.000 0.000
```

Output
- calculated formation energy (eV per atom) = -0.159
- E_tot (eV/atom) = -3.684

---

# 4
Below is a relaxed NiAs2Br crystal, with properties calculated at the PBE level.

Cell and atoms, written as extended XYZ:
```
4
Lattice="-1.497 -0.490 4.336 4.356 -1.513 -0.152 2.649 2.420 2.902" Properties=species:S:1:pos:R:3 pbc="T T T"
As 1.429 -1.001 2.092
Br 0.576 0.965 3.619
Ni 3.502 0.454 1.375
As 0.000 0.000 0.000
```

Output
- E_form (uncorrected) (eV/f.u.) = 1.4
- E_tot (eV/atom) = -3.838
- energy above the lowest structure with this stoichiometry (eV/atom) = 0.5283

---

# 5
Below is a relaxed HoCdGe2 crystal, with properties calculated at the PBE level.

Cell and atoms, written as extended XYZ:
```
4
Lattice="-4.500 -0.671 -0.521 -2.205 -2.949 2.722 -3.137 2.387 3.897" Properties=species:S:1:pos:R:3 pbc="T T T"
Ho -4.921 -0.616 3.049
Ge -2.444 -0.374 1.466
Ge -7.398 -0.858 4.632
Cd 0.000 0.000 0.000
```

Output
- calculated formation energy (eV per atom) = -0.207
- E_tot (eV/atom) = -3.889
- energy above the lowest structure with this stoichiometry (eV/atom) = 0.1897

---

# 6
Below is a relaxed CrGa3Pd crystal, with properties calculated at the PBE level.

Cell and atoms, written as extended XYZ:
```
5
Lattice="-0.445 4.771 0.349 -4.282 -0.554 2.107 2.133 -0.116 4.303" Properties=species:S:1:pos:R:3 pbc="T T T"
Pd 0.000 0.000 0.000
Ga -0.223 2.385 0.175
Ga -2.141 -0.277 1.054
Cr -1.297 2.051 3.380
Ga 1.066 -0.058 2.152
```

Output
- calculated formation energy (eV per atom) = 0.339
- E_tot (eV/atom) = -4.441
- energy above the lowest structure with this stoichiometry (eV/atom) = 0.0000

---

# 7
Below is a relaxed BaSrAlP2 crystal, with properties calculated at the PBE level.

Cell and atoms, written as extended XYZ:
```
10
Lattice="5.333 0.000 0.000 0.000 7.351 0.082 0.000 -2.137 8.087" Properties=species:S:1:pos:R:3 pbc="T T T"
Al 0.000 0.000 0.000
P 3.972 3.441 7.785
Sr 2.773 -1.602 6.065
Ba 1.104 2.073 6.106
Sr 2.560 -0.534 2.022
P 1.362 4.509 3.741
P 1.362 1.773 0.384
Al 0.000 -1.068 4.043
P 3.972 0.705 4.428
Ba 4.230 3.141 2.063
```

Output
- calculated formation energy (eV per atom) = -0.635
- E_tot (eV/atom) = -4.268

---

# 8
Below is a relaxed Ce2Cu3Ge4Pt crystal, with properties calculated at the PBE level.

Cell and atoms, written as extended XYZ:
```
10
Lattice="-1.888 3.363 1.825 -3.311 -0.416 -2.659 -4.461 -6.033 6.502" Properties=species:S:1:pos:R:3 pbc="T T T"
Ge -3.281 -2.406 1.039
Ge -2.600 1.473 -0.417
Pt -4.830 -1.543 2.834
Ce -2.057 0.177 2.534
Cu -4.848 -3.598 6.601
Ce -5.005 -4.737 3.551
Ge -3.780 -2.154 5.046
Cu -2.214 -0.962 -0.516
Cu -2.231 -3.017 3.251
Ge 0.000 0.000 0.000
```

Output
- calculated formation energy (eV per atom) = -0.579
- E_tot (eV/atom) = -5.446

---

| no. | magnetization (μB/atom) |
| --- | --- |
| 1 | 0.000 |
| 2 | 0.000 |
| 3 | 0.000 |
| 4 | 0.000 |
| 5 | 0.000 |
| 6 | 0.958 |
| 7 | 0.000 |
| 8 | 0.101 |